## CaBiPd3 (GGA-PBE)

Data for a relaxed CaBiPd3 crystal.

Its energy is -4.265 eV/atom. The value obtained for the distance to the lowest polymorph of the same formula is 0.491 eV per atom. Its crystal system is trigonal. The formation energy is 0.0271 eV/atom.

The structure belongs to space group R3m (No. 160, hexagonal axes); the cell edges are 7.2766, 7.2766 and 7.7055 Å and the angles 90.00°, 90.00° and 120.00°. The asymmetric unit holds Ca at (0.0000, 0.0000, 0.0000), Bi at (0.0000, 0.0000, 0.3967) and Pd at (0.0799, 0.5400, 0.3502).